(1)
Compound: BaCaNi2Ir
Source: Alexandria via LeMat-Bulk
Functional: meta-GGA SCAN
Structure: single point on PBEsol structure

Unit cell a=4.763 b=4.763 c=5.057 alpha=90.00 beta=90.00 gamma=90.00
Space group P4/mmm (No. 123)
Symmetry-distinct sites (fractional):
Ba 0.000 0.000 0.000 (multiplicity 1)
Ca 0.500 0.500 0.500 (multiplicity 1)
Ni 0.000 0.500 0.500 (multiplicity 2)
Ir 0.500 0.500 0.000 (multiplicity 1)

Results
Formation enthalpy at 0 K: 1.08 eV per atom
Total magnetization: 0.28 μB/atom
D(E_F): 0.580 states/eV per atom
E_tot: -29.449 eV/atom

---

(2)
Compound: HgTeW2
Source: Alexandria via LeMat-Bulk
Functional: meta-GGA SCAN
Structure: single point on PBEsol structure

Unit cell a=3.2328 b=3.2328 c=26.9653 alpha=90.00 beta=90.00 gamma=120.00
Space group R3m (No. 160, hexagonal axes)
Symmetry-distinct sites (fractional):
Hg 0.0000 0.0000 0.0000 (multiplicity 3)
Te 0.0000 0.0000 0.7706 (multiplicity 3)
W 0.0000 0.0000 0.2476 (multiplicity 3)
W 0.0000 0.0000 0.5170 (multiplicity 3)

Results
Formation energy without anion corrections: 492 meV/atom
Relative energy among the computed polymorphs: 0 meV/atom
Total magnetization: 0.00 μB/atom
D(E_F): 0.254 states/eV per atom
E_tot: -60.706 eV/atom

---

(3)
Compound: YMg2Rh
Source: Alexandria via LeMat-Bulk
Functional: meta-GGA SCAN
Structure: single point on PBEsol structure

Unit cell a=3.958 b=4.063 c=4.956 alpha=90.00 beta=90.00 gamma=90.00
Space group Pmmm (No. 47)
Symmetry-distinct sites (fractional):
Y 0.000 0.000 0.000 (multiplicity 1)
Mg 0.000 0.500 0.500 (multiplicity 1)
Mg 0.500 0.000 0.500 (multiplicity 1)
Rh 0.500 0.500 0.000 (multiplicity 1)

Results
Formation enthalpy at 0 K: -0.39 eV per atom
Total magnetization: 0.00 μB/atom
D(E_F): 0.588 states/eV per atom
E_tot: -18.278 eV/atom

---

(4)
Compound: KBa2Sr
Source: Alexandria via LeMat-Bulk
Functional: meta-GGA SCAN
Structure: single point on PBEsol structure

Unit cell a=8.527 b=13.900 c=4.224 alpha=90.00 beta=109.27 gamma=90.00
Space group C2/m (No. 12)
Symmetry-distinct sites (fractional):
K 0.000 0.000 0.000 (multiplicity 2)
Ba 0.250 0.250 0.500 (multiplicity 4)
Sr 0.000 0.500 0.000 (multiplicity 2)

Results
Formation enthalpy at 0 K: 0.09 eV per atom
Relative energy among the computed polymorphs: 34 meV/atom
Total magnetization: 0.01 μB/atom
D(E_F): 1.324 states/eV per atom
E_tot: -27.338 eV/atom

---

(5)
Compound: LiBeFe2
Source: Alexandria via LeMat-Bulk
Functional: meta-GGA SCAN
Structure: single point on PBEsol structure

Unit cell a=2.745 b=3.870 c=7.547 alpha=90.00 beta=90.00 gamma=90.00
Space group Imm2 (No. 44)
Symmetry-distinct sites (fractional):
Li 0.000 0.000 0.000 (multiplicity 2)
Be 0.000 0.500 0.741 (multiplicity 2)
Fe 0.000 0.000 0.482 (multiplicity 2)
Fe 0.000 0.500 0.235 (multiplicity 2)

Results
Formation enthalpy at 0 K: 0.17 eV per atom
Total magnetization: 1.17 μB/atom
D(E_F): 0.435 states/eV per atom
E_tot: -10.580 eV/atom

---

(6)
Compound: NiAg3
Source: Alexandria via LeMat-Bulk
Functional: meta-GGA SCAN
Structure: single point on PBEsol structure

Unit cell a=2.947 b=4.527 c=9.041 alpha=90.00 beta=90.00 gamma=90.00
Space group Immm (No. 71)
Symmetry-distinct sites (fractional):
Ni 0.000 0.000 0.000 (multiplicity 2)
Ag 0.000 0.000 0.500 (multiplicity 2)
Ag 0.000 0.500 0.265 (multiplicity 4)

Results
Formation enthalpy at 0 K: 0.24 eV per atom
Total magnetization: 0.00 μB/atom
D(E_F): 0.492 states/eV per atom
E_tot: -27.333 eV/atom

---

(7)
Compound: La2CdIr
Source: Alexandria via LeMat-Bulk
Functional: meta-GGA SCAN
Structure: single point on PBEsol structure

Unit cell a=3.613 b=3.613 c=7.797 alpha=90.00 beta=90.00 gamma=90.00
Space group P4/mmm (No. 123)
Symmetry-distinct sites (fractional):
La 0.000 0.000 0.214 (multiplicity 2)
Cd 0.500 0.500 0.500 (multiplicity 1)
Ir 0.500 0.500 0.000 (multiplicity 1)

Results
Formation enthalpy at 0 K: -0.60 eV per atom
Total magnetization: 0.00 μB/atom
D(E_F): 0.810 states/eV per atom
E_tot: -47.533 eV/atom

---

(8)
Compound: HfTe2Ru
Source: Alexandria via LeMat-Bulk
Functional: meta-GGA SCAN
Structure: single point on PBEsol structure

Unit cell a=6.774 b=6.774 c=6.774 alpha=90.00 beta=90.00 gamma=90.00
Space group Fm-3m (No. 225)
Symmetry-distinct sites (fractional):
Hf 0.000 0.000 0.000 (multiplicity 4)
Te 0.250 0.250 0.250 (multiplicity 8)
Ru 0.000 0.000 0.500 (multiplicity 4)

Results
Formation energy without anion corrections: -34 meV/atom
Relative energy among the computed polymorphs: 0 meV/atom
Total magnetization: 0.00 μB/atom
D(E_F): 0.997 states/eV per atom
E_tot: -43.034 eV/atom